Record 1
VASP calculation (PBEsol) on Rb2TaReI after structural relaxation.

Calculated values
Formation energy from raw total energies in eV per atom: 2.270
Density of states at the Fermi level in states/eV/cell: 7.12

Cell and atoms, written as POSCAR:
```
Rb2TaReI
1.0
-1.697 4.929 -0.764
-3.325 -1.986 -5.429
-5.367 -1.267 3.751
Ta Re I Rb
1 1 1 2
direct
0.500 0.000 0.000 Ta
0.500 0.500 0.500 Re
0.000 0.000 0.000 I
0.000 0.000 0.500 Rb
0.000 0.500 0.000 Rb
```

***

Record 2
VASP calculation (PBEsol) on NiMo2W after structural relaxation.

Calculated values
Energy relative to the elements in eV per atom: 0.245
Density of states at the Fermi level in states/eV/cell: 3.99

Cell and atoms, written as POSCAR:
```
NiMo2W
1.0
2.577 0.000 0.000
0.000 4.037 0.000
0.000 0.000 5.532
W Ni Mo
1 1 2
direct
0.500 0.500 0.734 W
0.000 0.000 0.502 Ni
0.500 0.500 0.263 Mo
0.000 0.000 0.001 Mo
```

***

Record 3
VASP calculation (PBEsol) on Mn2AlSe after structural relaxation.

Calculated values
Formation energy from raw total energies in eV per atom: 0.118
Density of states at the Fermi level in states/eV/cell: 3.15

Cell and atoms, written as POSCAR:
```
Mn2AlSe
1.0
2.990 0.000 0.000
-1.495 4.029 0.052
0.000 -0.951 4.444
Mn Al Se
2 1 1
direct
0.748 0.495 0.744 Mn
0.252 0.505 0.256 Mn
0.500 0.000 0.000 Al
0.000 0.000 0.500 Se
```

***

Record 4
VASP calculation (PBEsol) on KMgBr3 after structural relaxation.

Calculated values
Formation energy from raw total energies in eV per atom: -1.541
Density of states at the Fermi level in states/eV/cell: 0.00

Cell and atoms, written as POSCAR:
```
KMgBr3
1.0
-2.268 3.943 2.665
-2.919 1.179 -4.229
-3.759 -3.294 1.676
K Br Mg
1 3 1
direct
0.500 0.500 0.500 K
0.000 0.000 0.500 Br
0.500 0.000 0.000 Br
0.000 0.500 0.000 Br
0.000 0.000 0.000 Mg
```

***

Record 5
VASP calculation (PBEsol) on KBeAs after structural relaxation.

Calculated values
Energy relative to the elements in eV per atom: -0.378

Cell and atoms, written as POSCAR:
```
KBeAs
1.0
3.860 0.000 0.000
-1.930 3.343 0.000
0.000 0.000 5.174
Be K As
1 1 1
direct
0.333 0.667 0.000 Be
0.667 0.333 0.500 K
0.000 0.000 0.000 As
```

***

Record 6
VASP calculation (PBEsol) on NaY2B after structural relaxation.

Calculated values
Energy relative to the elements in eV per atom: 0.394
Density of states at the Fermi level in states/eV/cell: 4.92

Cell and atoms, written as POSCAR:
```
NaY2B
1.0
6.440 -0.037 0.000
-2.750 5.823 0.000
-1.845 -2.893 5.450
Y B Na
4 2 2
direct
0.125 0.540 0.915 Y
0.625 0.210 0.085 Y
0.790 0.875 0.415 Y
0.460 0.375 0.585 Y
0.750 0.250 0.500 B
0.500 0.500 0.000 B
0.000 0.000 0.000 Na
0.250 0.750 0.500 Na
```

***

Record 7
VASP calculation (PBEsol) on BaTaPt3 after structural relaxation.

Calculated values
Energy relative to the elements in eV per atom: -0.006
Density of states at the Fermi level in states/eV/cell: 3.23

Cell and atoms, written as POSCAR:
```
BaTaPt3
1.0
4.954 0.000 0.000
0.000 4.954 0.000
0.000 0.000 4.954
Pt Ta Ba
3 1 1
direct
0.000 0.000 0.500 Pt
0.500 0.000 0.000 Pt
0.000 0.500 0.000 Pt
0.000 0.000 0.000 Ta
0.500 0.500 0.500 Ba
```

***

Record 8
VASP calculation (PBEsol) on LiNb3Pb after structural relaxation.

Calculated values
Energy relative to the elements in eV per atom: 0.874
Density of states at the Fermi level in states/eV/cell: 1.61

Cell and atoms, written as POSCAR:
```
LiNb3Pb
1.0
4.461 0.000 0.000
0.000 4.461 0.000
0.000 0.000 4.461
Li Nb Pb
1 3 1
direct
0.000 0.000 0.000 Li
0.000 0.500 0.000 Nb
0.000 0.000 0.500 Nb
0.500 0.000 0.000 Nb
0.500 0.500 0.500 Pb
```

***

Calculated total energy (eV/atom)
-3.67 -10.63 -6.75 -3.23 -3.79 -5.12 -7.12 -6.81